1.
Below is a relaxed CuAuN2F crystal, with properties calculated at the PBE-GGA level.

Properties
As for the crystal system: tetragonal. Its uncorrected energy is -3.706 eV/atom. The calculation puts the polymorph energy (0 for the lowest one) at 1.31 eV/f.u.

Lattice parameters (Å, degrees): 3.9173 3.9173 5.2392 90.00 90.00 90.00
Last column: nearest neighbours and their distance in Å.
Space group P4/mmm (No. 123)
Unique sites:
Cu: 0.0000 0.0000 0.0000 [1 per cell]  4 F 2.77
Au: 0.5000 0.5000 0.5000 [1 per cell]  4 N 1.96
N: 0.0000 0.5000 0.5000 [2 per cell]  2 Au 1.96
F: 0.5000 0.5000 0.0000 [1 per cell]  2 Au 2.62, 4 Cu 2.77

2.
Below is a relaxed CuAuN2F crystal, with properties calculated at the PBE-GGA level.

Properties
As for the crystal system: tetragonal. Its uncorrected energy is -3.967 eV/atom. The calculation puts the polymorph energy (0 for the lowest one) at 0.00 eV/f.u.

Lattice parameters (Å, degrees): 3.8637 3.8637 3.9207 90.00 90.00 90.00
Last column: nearest neighbours and their distance in Å.
Space group P4/mmm (No. 123)
Unique sites:
Cu: 0.0000 0.0000 0.0000 [1 per cell]  4 N 1.93, 2 F 1.96
Au: 0.5000 0.5000 0.5000 [1 per cell]  4 F 2.73, 8 N 2.75
N: 0.0000 0.5000 0.0000 [2 per cell]  2 Cu 1.93
F: 0.0000 0.0000 0.5000 [1 per cell]  2 Cu 1.96

3.
Below is a relaxed Na2CuAuF8 crystal, with properties calculated at the PBE-GGA level.

Properties
As for the crystal system: triclinic. Its uncorrected energy is -3.886 eV/atom.

Lattice parameters (Å, degrees): 4.7855 5.0300 7.5038 82.39 84.82 83.75
Last column: nearest neighbours and their distance in Å.
Space group P-1 (No. 2)
Unique sites:
Na: 0.0085 0.4938 0.2607 [2 per cell]  6 F 2.31-2.36
Cu: 0.5000 0.0000 0.5000 [1 per cell]  4 F 1.78-1.79
Au: 0.5000 0.0000 0.0000 [1 per cell]  4 F 1.97
F: 0.1831 0.2838 0.0046 [2 per cell]  1 Au 1.97
F: 0.1964 0.2410 0.5151 [2 per cell]  1 Cu 1.79
F: 0.3378 0.8092 0.2256 [2 per cell]  1 Au 1.97
F: 0.3519 0.7820 0.6829 [2 per cell]  1 Cu 1.78

Uncorrected formation energy (computed, meV per atom): 1473, 1212, -1804
Size of the total moment (computed, μB/cell): 3.135, 1.796, 0.000